The following is a DFT calculation (PBE) of a relaxed RbNaYCl5 crystal.

## Properties
- formation energy (no corrections) (kcal/mol of atoms) = -48.34
- size of the total moment (Bohr magnetons per cell) = 0.00
- V (Å³ per cell) = 551.05
- space group = No. 15

a b c (Å): 7.838 7.838 10.277
angles (deg): 102.41 102.41 109.79
Atoms (fractional coordinates):
Rb 0.164 0.836 0.750
Rb 0.836 0.164 0.250
Na 0.187 0.813 0.250
Na 0.813 0.187 0.750
Y 0.500 0.500 0.000
Y 0.500 0.500 0.500
Cl 0.146 0.250 0.932
Cl 0.211 0.594 0.414
Cl 0.250 0.146 0.432
Cl 0.406 0.789 0.086
Cl 0.435 0.565 0.750
Cl 0.565 0.435 0.250
Cl 0.594 0.211 0.914
Cl 0.750 0.854 0.568
Cl 0.789 0.406 0.586
Cl 0.854 0.750 0.068